Here is Mo4Os5 after structural relaxation from Alexandria. Energies are from PBE. Values from VASP.

The structure in Quantum ESPRESSO input format:
```
&SYSTEM
  ibrav = 0, nat = 18, ntyp = 2
/
ATOMIC_SPECIES
Mo 95.94 Mo.upf
Os 190.23 Os.upf
CELL_PARAMETERS angstrom
-2.4112 -0.4968 -7.1798
-7.0677 -2.3404 -1.4765
-1.7675 5.1898 0.2345
ATOMIC_POSITIONS crystal
Mo 0.0000 0.6661 0.2500
Mo 0.3339 0.6661 0.7500
Mo 0.0000 0.0000 0.5000
Mo 0.6661 0.3339 0.2500
Mo 0.0000 0.0000 0.0000
Mo 0.6661 0.0000 0.7500
Mo 0.3339 0.0000 0.2500
Mo 0.0000 0.3339 0.7500
Os 0.6650 0.0000 0.2500
Os 0.3333 0.3333 0.0000
Os 0.0000 0.3350 0.2500
Os 0.0000 0.6650 0.7500
Os 0.3350 0.6650 0.2500
Os 0.6667 0.6667 0.5000
Os 0.6650 0.3350 0.7500
Os 0.3333 0.3333 0.5000
Os 0.3350 0.0000 0.7500
Os 0.6667 0.6667 0.0000
```

Results
DFT formation energy	1.4	eV per formula unit

Here is Li2Mn2Se after structural relaxation from Alexandria. Energies are from PBE. Values from VASP.

The structure in Quantum ESPRESSO input format:
```
&SYSTEM
  ibrav = 0, nat = 5, ntyp = 3
/
ATOMIC_SPECIES
Se 78.96 Se.upf
Mn 54.94 Mn.upf
Li 6.94 Li.upf
CELL_PARAMETERS angstrom
3.0846 0.0000 0.0000
0.0000 3.0846 0.0000
1.5423 1.5423 8.3666
ATOMIC_POSITIONS crystal
Se 0.0000 0.0000 0.0000
Mn 0.2500 0.7500 0.5000
Mn 0.7500 0.2500 0.5000
Li 0.4004 0.4004 0.1993
Li 0.5996 0.5996 0.8007
```

Results
ΔE_f (raw)	119	meV per atom

Here is Sc2Co3Pt after structural relaxation from Alexandria. Energies are from PBE. Values from VASP.

The structure in Quantum ESPRESSO input format:
```
&SYSTEM
  ibrav = 0, nat = 6, ntyp = 3
/
ATOMIC_SPECIES
Co 58.93 Co.upf
Sc 44.96 Sc.upf
Pt 195.08 Pt.upf
CELL_PARAMETERS angstrom
4.3060 -0.1269 -2.2504
-2.7407 4.0081 -0.2141
-0.0455 0.2440 5.1408
ATOMIC_POSITIONS crystal
Co 0.5000 0.5000 0.5000
Co 0.0000 0.0000 0.5000
Co 0.5000 0.0000 0.5000
Sc 0.2367 0.6184 0.8551
Sc 0.7633 0.3816 0.1449
Pt 0.0000 0.0000 0.0000
```

Results
DFT formation energy	-3.4	eV per formula unit

Here is DyTmBi2O6 after structural relaxation from Alexandria. Energies are from PBE. Values from VASP.

The structure in Quantum ESPRESSO input format:
```
&SYSTEM
  ibrav = 0, nat = 10, ntyp = 4
/
ATOMIC_SPECIES
Dy 162.50 Dy.upf
Bi 208.98 Bi.upf
O 16.00 O.upf
Tm 168.93 Tm.upf
CELL_PARAMETERS angstrom
5.9961 0.0003 -0.0001
2.9983 5.1928 -0.0002
2.9978 1.7311 5.0617
ATOMIC_POSITIONS crystal
Dy 0.8082 0.8082 0.5754
Bi 0.0221 0.0221 0.9335
Bi 0.5227 0.5228 0.4318
O 0.6172 0.1754 0.2493
O 0.1227 0.4520 0.7520
O 0.9581 0.6173 0.2493
O 0.4520 0.6732 0.7521
O 0.6732 0.1226 0.7522
O 0.1754 0.9580 0.2494
Tm 0.3099 0.3099 0.0702
```

Results
ΔE_f (raw)	-2397	meV per atom

Question: Number 4 is which compound?
Answer: DyTmBi2O6